DFT (PBE-GGA) results for a relaxed structure of Li5Sn3Au2.

N(E_F): 0.274 states/eV per atom
energy relative to the elements: -298 kJ/mol of formula units
magnetization: 0.00 μB/f.u.

```
data_Li5Sn3Au2
_symmetry_space_group_name_H-M 'I b a m'
_symmetry_Int_Tables_number 72
_symmetry_space_group_name_Hall '-I 2 2c'
_cell_length_a 8.2283
_cell_length_b 10.9722
_cell_length_c 9.3960
_cell_angle_alpha 90.00
_cell_angle_beta 90.00
_cell_angle_gamma 90.00
loop_
_atom_site_label
_atom_site_type_symbol
_atom_site_fract_x
_atom_site_fract_y
_atom_site_fract_z
Li1 Li 0.0000 0.0000 0.2500
Li2 Li 0.0000 0.2521 0.2500
Li3 Li 0.2317 0.3864 0.0000
Sn1 Sn 0.0000 0.5000 0.2500
Sn2 Sn 0.0735 0.1287 0.0000
Au1 Au 0.0944 0.3615 0.5000
```